TbPu2AgO8 after structural relaxation, computed with PBE-GGA.

mass density: 7.42 g cm⁻³
DFT total energy: -8.305 eV/atom
total magnetic moment: 8.653 μB/cell

Cell: 7.3573 7.3573 7.2974 Å, 90.00 90.00 90.00°
Space group I-4m2 (No. 119)
One atom of each set of equivalent atoms:
Tb 0.0000 0.0000 0.0000
Pu 0.0000 0.0000 0.5000
Pu 0.0000 0.5000 0.7500
Ag 0.0000 0.5000 0.2500
O 0.0000 0.1785 0.2988
O 0.0000 0.3008 0.9303

TbPuAg2O6 after structural relaxation, computed with PBE-GGA.

mass density: 7.64 g cm⁻³
DFT total energy: -7.234 eV/atom
total magnetic moment: 1.093 μB/cell

Cell: 5.9640 5.9640 4.3652 Å, 90.00 90.00 90.00°
Space group P4mm (No. 99)
One atom of each set of equivalent atoms:
Tb 0.0000 0.0000 0.0000
Pu 0.5000 0.5000 0.0236
Ag 0.0000 0.5000 0.4557
O 0.0000 0.0000 0.5040
O 0.2694 0.2694 0.0296
O 0.5000 0.5000 0.5241

Tb2PuAgO6 after structural relaxation, computed with PBE-GGA.

mass density: 8.23 g cm⁻³
DFT total energy: -8.314 eV/atom
total magnetic moment: 9.000 μB/cell

Cell: 5.8713 5.8713 15.5190 Å, 90.00 90.00 120.00°
Space group R3 (No. 146, hexagonal axes)
One atom of each set of equivalent atoms:
Tb 0.0000 0.0000 0.0000
Tb 0.0000 0.0000 0.4853
Pu 0.0000 0.0000 0.7921
Ag 0.0000 0.0000 0.2598
O 0.0030 0.3489 0.0630
O 0.0769 0.6985 0.5506

TbPuAg2O8 after structural relaxation, computed with PBE-GGA.

mass density: 7.11 g cm⁻³
DFT total energy: -6.682 eV/atom
total magnetic moment: 0.127 μB/cell

Cell: 6.8342 6.8342 7.4705 Å, 90.00 90.00 90.00°
Space group I-4m2 (No. 119)
One atom of each set of equivalent atoms:
Tb 0.0000 0.0000 0.0000
Pu 0.0000 0.5000 0.7500
Ag 0.0000 0.0000 0.5000
Ag 0.0000 0.5000 0.2500
O 0.0000 0.2139 0.7282
O 0.0000 0.3281 0.0303

TbPuAgO6 after structural relaxation, computed with PBE-GGA.

mass density: 7.66 g cm⁻³
DFT total energy: -7.810 eV/atom
total magnetic moment: 0.113 μB/cell

Cell: 5.5278 5.5278 9.9393 Å, 90.00 90.00 120.00°
Space group P-31c (No. 163)
One atom of each set of equivalent atoms:
Tb 0.0000 0.0000 0.0000
Pu 0.3333 0.6667 0.2500
Ag 0.3333 0.6667 0.7500
O 0.0399 0.3604 0.1330

PuAgTeO6 after structural relaxation, computed with PBE-GGA.

mass density: 6.96 g cm⁻³
DFT total energy: -6.953 eV/atom
total magnetic moment: 2.012 μB/cell

Cell: 5.6639 5.6639 9.8885 Å, 90.00 90.00 120.00°
Space group P-31c (No. 163)
One atom of each set of equivalent atoms:
Pu 0.3333 0.6667 0.2500
Ag 0.0000 0.0000 0.0000
Te 0.3333 0.6667 0.7500
O 0.0125 0.3725 0.1408